[1]
! GGA-PBEsol FeCoPt2, relaxed; values from VASP
! Raw total energy (eV per atom): -7.7660
! Volume (Å³/cell): 52.6
! SG: I-4m2 (119)
&SYSTEM
  ibrav = 0, nat = 4, ntyp = 3
/
ATOMIC_SPECIES
Co 58.93 Co.upf
Fe 55.84 Fe.upf
Pt 195.08 Pt.upf
CELL_PARAMETERS angstrom
3.736 0.000 0.000
0.000 3.736 0.000
-1.868 -1.868 3.766
ATOMIC_POSITIONS crystal
Co 0.500 0.500 0.000
Fe 0.750 0.250 0.500
Pt 0.000 0.000 0.000
Pt 0.250 0.750 0.500

=====

[2]
! GGA-PBEsol Ca3ZrFe, relaxed; values from VASP
! Energy above the most stable polymorph in this dataset (eV per atom): 0.000
! Raw total energy (eV per atom): -4.0025
! Volume (Å³/cell): 147.8
! SG: Pm-3m (221)
&SYSTEM
  ibrav = 0, nat = 5, ntyp = 3
/
ATOMIC_SPECIES
Ca 40.08 Ca.upf
Fe 55.84 Fe.upf
Zr 91.22 Zr.upf
CELL_PARAMETERS angstrom
-4.734 0.619 -2.272
0.348 -4.861 -2.050
-2.329 -1.985 4.311
ATOMIC_POSITIONS crystal
Ca 0.000 0.500 0.000
Ca 0.000 0.000 0.500
Ca 0.500 0.000 0.000
Fe 0.000 0.000 0.000
Zr 0.500 0.500 0.500

=====

[3]
! GGA-PBEsol MnZnRh, relaxed; values from VASP
! Raw total energy (eV per atom): -6.6178
! Volume (Å³/cell): 39.9
! SG: I4mm (107)
&SYSTEM
  ibrav = 0, nat = 3, ntyp = 3
/
ATOMIC_SPECIES
Zn 65.41 Zn.upf
Mn 54.94 Mn.upf
Rh 102.91 Rh.upf
CELL_PARAMETERS angstrom
-2.014 1.926 -1.312
-0.827 -2.212 -1.977
-1.554 -1.141 4.326
ATOMIC_POSITIONS crystal
Zn 0.333 0.333 0.667
Mn 0.001 0.001 0.001
Rh 0.666 0.666 0.332

=====

[4]
! GGA-PBEsol MnAl3Ga, relaxed; values from VASP
! Raw total energy (eV per atom): -4.7668
! Volume (Å³/cell): 94.1
! SG: Pm-3m (221)
&SYSTEM
  ibrav = 0, nat = 5, ntyp = 3
/
ATOMIC_SPECIES
Mn 54.94 Mn.upf
Al 26.98 Al.upf
Ga 69.72 Ga.upf
CELL_PARAMETERS angstrom
4.549 0.000 0.000
0.000 4.549 0.000
0.000 0.000 4.549
ATOMIC_POSITIONS crystal
Mn 0.000 0.000 0.000
Al 0.000 0.500 0.000
Al 0.000 0.000 0.500
Al 0.500 0.000 0.000
Ga 0.500 0.500 0.500

=====

[5]
! GGA-PBEsol RbZr3Re, relaxed; values from VASP
! Raw total energy (eV per atom): -5.8557
! Volume (Å³/cell): 111.4
! SG: Pm-3m (221)
&SYSTEM
  ibrav = 0, nat = 5, ntyp = 3
/
ATOMIC_SPECIES
Re 186.21 Re.upf
Rb 85.47 Rb.upf
Zr 91.22 Zr.upf
CELL_PARAMETERS angstrom
4.812 0.000 0.000
0.000 4.812 0.000
0.000 0.000 4.812
ATOMIC_POSITIONS crystal
Re 0.500 0.500 0.500
Rb 0.000 0.000 0.000
Zr 0.000 0.500 0.000
Zr 0.000 0.000 0.500
Zr 0.500 0.000 0.000

=====

[6]
! GGA-PBEsol CsB3Te, relaxed; values from VASP
! Raw total energy (eV per atom): -3.0510
! Volume (Å³/cell): 105.2
! Energy relative to the elements, uncorrected (meV per atom): 2053
! SG: Pm-3m (221)
&SYSTEM
  ibrav = 0, nat = 5, ntyp = 3
/
ATOMIC_SPECIES
Cs 132.91 Cs.upf
B 10.81 B.upf
Te 127.60 Te.upf
CELL_PARAMETERS angstrom
4.721 0.000 0.000
0.000 4.721 0.000
0.000 0.000 4.721
ATOMIC_POSITIONS crystal
Cs 0.500 0.500 0.500
B 0.000 0.500 0.000
B 0.000 0.000 0.500
B 0.500 0.000 0.000
Te 0.000 0.000 0.000